(1)
NaScC | GGA-PBE | relaxed

The structure in CIF format:
```
data_NaScC
_chemical_formula_sum 'Na2 Sc2 C2'
_symmetry_space_group_name_H-M 'P 1 21/m 1'
_symmetry_Int_Tables_number 11
_cell_length_a 3.287
_cell_length_b 3.288
_cell_length_c 10.603
_cell_angle_alpha 90.00
_cell_angle_beta 90.12
_cell_angle_gamma 90.00
loop_
_symmetry_equiv_pos_as_xyz
'x,y,z'
'-x,-y,-z'
'-x,y+1/2,-z'
'x,-y+1/2,z'
loop_
_atom_site_label
_atom_site_fract_x
_atom_site_fract_y
_atom_site_fract_z
Na1 0.248 0.250 0.144
Sc1 0.251 0.250 0.603
C1 0.249 0.250 0.383
```

Computed properties:
Electronic total energy = -0.414 Ry per atom
Energy of formation from the pure elements = -0.003 eV per atom
DOS at the Fermi energy = 0.5925 states/eV per atom
Total moment = 0.0 μB/cell

(2)
YHoTe6 | GGA-PBE | relaxed

The structure in CIF format:
```
data_YHoTe6
_chemical_formula_sum 'Y2 Ho2 Te12'
_symmetry_space_group_name_H-M 'A m m 2'
_symmetry_Int_Tables_number 38
_cell_length_a 4.342
_cell_length_b 4.340
_cell_length_c 26.839
_cell_angle_alpha 90.00
_cell_angle_beta 90.00
_cell_angle_gamma 90.00
loop_
_symmetry_equiv_pos_as_xyz
'x,y,z'
'-x,-y,z'
'-x,y,z'
'x,-y,z'
'x,y+1/2,z+1/2'
'-x,-y+1/2,z+1/2'
'-x,y+1/2,z+1/2'
'x,-y+1/2,z+1/2'
loop_
_atom_site_label
_atom_site_fract_x
_atom_site_fract_y
_atom_site_fract_z
Y1 0.000 0.000 0.000
Ho1 0.500 0.000 0.346
Te1 0.000 0.000 0.253
Te2 0.000 0.000 0.594
Te3 0.000 0.000 0.881
Te4 0.500 0.000 0.094
Te5 0.500 0.000 0.465
Te6 0.500 0.000 0.753
```

Computed properties:
Electronic total energy = -0.341 Ry per atom
DOS at the Fermi energy = 0.3514 states/eV per atom
Total moment = 0.0 μB/cell
Energy relative to the elements, uncorrected = -0.91 eV/atom

(3)
HoAl2Cu3 | GGA-PBE | relaxed

The structure in CIF format:
```
data_HoAl2Cu3
_chemical_formula_sum 'Ho1 Al2 Cu3'
_symmetry_space_group_name_H-M 'P 6/m m m'
_symmetry_Int_Tables_number 191
_symmetry_space_group_name_Hall '-P 6 2'
_cell_length_a 5.2881
_cell_length_b 5.2881
_cell_length_c 3.9654
_cell_angle_alpha 90.00
_cell_angle_beta 90.00
_cell_angle_gamma 120.00
loop_
_atom_site_label
_atom_site_fract_x
_atom_site_fract_y
_atom_site_fract_z
Ho1 0.0000 0.0000 0.0000
Al1 0.3333 0.6667 0.0000
Cu1 0.0000 0.5000 0.5000
```

Computed properties:
Electronic total energy = -0.323 Ry per atom
Energy of formation from the pure elements = -0.337 eV per atom
DOS at the Fermi energy = 0.6827 states/eV per atom
Total moment = 0.0 μB/cell

(4)
CaCo3Br | GGA-PBE | relaxed

The structure in CIF format:
```
data_CaCo3Br
_chemical_formula_sum 'Ca1 Co3 Br1'
_symmetry_space_group_name_H-M 'P m -3 m'
_symmetry_Int_Tables_number 221
_symmetry_space_group_name_Hall '-P 4 2 3'
_cell_length_a 4.430
_cell_length_b 4.430
_cell_length_c 4.430
_cell_angle_alpha 90.00
_cell_angle_beta 90.00
_cell_angle_gamma 90.00
loop_
_atom_site_label
_atom_site_fract_x
_atom_site_fract_y
_atom_site_fract_z
Ca1 0.000 0.000 0.000
Co1 0.000 0.500 0.500
Br1 0.500 0.500 0.500
```

Computed properties:
Electronic total energy = -0.313 Ry per atom
DOS at the Fermi energy = 1.5359 states/eV per atom
Total moment = 2.1 μB/cell
Energy relative to the elements, uncorrected = 0.73 eV/atom